Density functional theory data (GGA-PBE) for Cd4InHg8 after structural relaxation.

abc: 8.116 8.116 8.116
angles: 60.00 60.00 60.00
Element x y z (fractional)
Cd  0.100  0.100  0.100
Cd  0.100  0.100  0.699
Cd  0.100  0.699  0.100
Cd  0.699  0.100  0.100
In  0.500  0.500  0.500
Hg  0.357  0.357  0.357
Hg  0.357  0.357  0.930
Hg  0.357  0.930  0.357
Hg  0.465  0.845  0.845
Hg  0.845  0.465  0.845
Hg  0.845  0.845  0.465
Hg  0.845  0.845  0.845
Hg  0.930  0.357  0.357

- energy relative to the lowest polymorph listed for this composition (meV per atom) = 53
- space group = F-43m (216)
- formation energy from the elements (kJ/mol of atoms) = 7